# KSbIrO6 | the Alexandria database | PBE-GGA | relaxed
data_KSbIrO6
_chemical_formula_sum 'K1 Sb1 Ir1 O6'
_space_group_name_H-M_alt 'P 3 1 2'
_space_group_IT_number 149
_space_group_name_Hall 'P 3 2'
_cell_length_a 5.3310
_cell_length_b 5.3310
_cell_length_c 6.0448
_cell_angle_alpha 90.00
_cell_angle_beta 90.00
_cell_angle_gamma 120.00
loop_
_atom_site_label
_atom_site_fract_x
_atom_site_fract_y
_atom_site_fract_z
K1 0.0000 0.0000 0.0000
Sb1 0.3333 0.6667 0.5000
Ir1 0.6667 0.3333 0.5000
O1 0.3880 0.0106 0.6831
# energy relative to the elements, uncorrected	-1.1332	eV/atom

# K2SbIrO6 | the Alexandria database | PBE-GGA | relaxed
data_K2SbIrO6
_chemical_formula_sum 'K2 Sb1 Ir1 O6'
_space_group_name_H-M_alt 'P 4/m m m'
_space_group_IT_number 123
_space_group_name_Hall '-P 4 2'
_cell_length_a 5.689
_cell_length_b 5.689
_cell_length_c 3.954
_cell_angle_alpha 90.00
_cell_angle_beta 90.00
_cell_angle_gamma 90.00
loop_
_atom_site_label
_atom_site_fract_x
_atom_site_fract_y
_atom_site_fract_z
K1 0.000 0.500 0.000
Sb1 0.000 0.000 0.500
Ir1 0.500 0.500 0.500
O1 0.000 0.000 0.000
O2 0.250 0.250 0.500
O3 0.500 0.500 0.000
# energy relative to the elements, uncorrected	-1.1509	eV/atom

# K2ScIr3O12 | the Alexandria database | PBE-GGA | relaxed
data_K2ScIr3O12
_chemical_formula_sum 'K6 Sc3 Ir9 O36'
_space_group_name_H-M_alt 'R -3 m'
_space_group_IT_number 166
_space_group_name_Hall '-R 3 2"'
_cell_length_a 7.2519
_cell_length_b 7.2519
_cell_length_c 18.3378
_cell_angle_alpha 90.00
_cell_angle_beta 90.00
_cell_angle_gamma 120.00
loop_
_atom_site_label
_atom_site_fract_x
_atom_site_fract_y
_atom_site_fract_z
K1 0.0000 0.0000 0.1126
Sc1 0.0000 0.0000 0.5000
Ir1 0.0000 0.5000 0.0000
O1 0.0650 0.5325 0.1001
O2 0.0674 0.5337 0.3517
# energy relative to the elements, uncorrected	-1.1784	eV/atom

# KSc2IrO8 | the Alexandria database | PBE-GGA | relaxed
data_KSc2IrO8
_chemical_formula_sum 'K1 Sc2 Ir1 O8'
_space_group_name_H-M_alt 'P 1 2/m 1'
_space_group_IT_number 10
_space_group_name_Hall '-P 2y'
_cell_length_a 4.770
_cell_length_b 7.207
_cell_length_c 4.804
_cell_angle_alpha 90.00
_cell_angle_beta 90.56
_cell_angle_gamma 90.00
loop_
_atom_site_label
_atom_site_fract_x
_atom_site_fract_y
_atom_site_fract_z
K1 0.000 0.000 0.000
Sc1 0.500 0.284 0.500
Ir1 0.000 0.500 0.000
O1 0.199 0.314 0.807
O2 0.291 0.500 0.296
O3 0.384 0.000 0.394
# energy relative to the elements, uncorrected	-1.7710	eV/atom

Short version: D(E_F) = 0.589 0.504 0.561 0.371 states/eV per atom, in the order given.
Short version: V = 149 128 278 165 Å³/f.u., in the order given.